This record from Alexandria via LeMat-Bulk describes a relaxed CuOs crystal. The functional is PBE.

Lattice parameters (Å, degrees): 2.6666 2.6666 4.3810 90.00 90.00 120.00
With the nearest neighbours (Å) after each atom.
Sites, in units of the cell vectors:
Os: 0.6667 0.3333 0.5000  6 Os 2.67, 6 Cu 2.68
Cu: 0.0000 0.0000 0.0000  6 Cu 2.67, 6 Os 2.68

This record from Alexandria via LeMat-Bulk describes a relaxed CuOs crystal. The functional is PBE.

Lattice parameters (Å, degrees): 4.2625 4.9210 2.9192 107.25 90.00 115.66
With the nearest neighbours (Å) after each atom.
Sites, in units of the cell vectors:
Cu: 0.0115 0.0230 0.0115  2 Cu 2.40, 6 Os 2.59-2.60
Cu: 0.2385 0.4770 0.7385  2 Cu 2.40, 6 Os 2.59-2.60
Os: 0.4951 0.9901 0.4951  6 Cu 2.59-2.60, 2 Os 2.62
Os: 0.7549 0.5099 0.2549  6 Cu 2.59-2.60, 2 Os 2.62

This record from Alexandria via LeMat-Bulk describes a relaxed CuOs7 crystal. The functional is PBE.

Lattice parameters (Å, degrees): 5.4396 5.4396 5.4396 60.00 60.00 60.00
With the nearest neighbours (Å) after each atom.
Sites, in units of the cell vectors:
Cu: 0.0000 0.0000 0.0000  12 Os 2.72
Os: 0.0000 0.0000 0.5000  10 Os 2.72, 2 Cu 2.72
Os: 0.5000 0.0000 0.5000  10 Os 2.72, 2 Cu 2.72
Os: 0.0000 0.5000 0.5000  10 Os 2.72, 2 Cu 2.72
Os: 0.5000 0.5000 0.0000  10 Os 2.72, 2 Cu 2.72
Os: 0.0000 0.5000 0.0000  10 Os 2.72, 2 Cu 2.72
Os: 0.5000 0.0000 0.0000  10 Os 2.72, 2 Cu 2.72
Os: 0.5000 0.5000 0.5000  12 Os 2.72

This record from Alexandria via LeMat-Bulk describes a relaxed CuOs crystal. The functional is PBE.

Lattice parameters (Å, degrees): 2.7098 2.7098 8.5412 90.00 90.00 120.00
With the nearest neighbours (Å) after each atom.
Sites, in units of the cell vectors:
Os: 0.6667 0.3333 0.4827  9 Os 2.62-2.71, 3 Cu 2.69
Os: 0.3333 0.6667 0.7291  9 Os 2.62-2.71, 3 Cu 2.72
Cu: 0.3333 0.6667 0.2270  9 Cu 2.56-2.71, 3 Os 2.69
Cu: 0.0000 0.0000 0.9893  9 Cu 2.56-2.71, 3 Os 2.72

Ordered E_form results: 0.779, 0.778, 2.801, 0.404; unit eV/f.u..